Arrangement A

## Ho4Tm3Sc2 (PBE)

Data for Ho4Tm3Sc2 after structural relaxation. Values from VASP.

```
&SYSTEM
  ibrav = 0, nat = 18, ntyp = 3
/
ATOMIC_SPECIES
Ho 164.93 Ho.upf
Tm 168.93 Tm.upf
Sc 44.96 Sc.upf
ATOMIC_POSITIONS crystal
Ho 0.1626 0.8025 0.9866
Ho 0.1893 0.4359 0.0880
Ho 0.1975 0.8374 0.5134
Ho 0.4359 0.1893 0.5880
Ho 0.5641 0.8107 0.4120
Ho 0.8025 0.1626 0.4866
Ho 0.8107 0.5641 0.9120
Ho 0.8374 0.1975 0.0134
Tm 0.1105 0.1978 0.7405
Tm 0.1978 0.1105 0.2405
Tm 0.4934 0.5066 0.2500
Tm 0.5066 0.4934 0.7500
Tm 0.8022 0.8895 0.7595
Tm 0.8895 0.8022 0.2595
Sc 0.1214 0.5491 0.6044
Sc 0.4509 0.8786 0.8956
Sc 0.5491 0.1214 0.1044
Sc 0.8786 0.4509 0.3956
CELL_PARAMETERS angstrom
8.3108 -4.8561 0.0000
8.3108 4.8561 0.0000
-0.3426 0.0000 6.6013
```

* total magnetic moment: 0.0 μB per cell

=====

Arrangement B

## Ho4Tm3Sc2 (PBE)

Data for Ho4Tm3Sc2 after structural relaxation. Values from VASP.

```
&SYSTEM
  ibrav = 0, nat = 18, ntyp = 3
/
ATOMIC_SPECIES
Ho 164.93 Ho.upf
Tm 168.93 Tm.upf
Sc 44.96 Sc.upf
ATOMIC_POSITIONS crystal
Ho 0.0469 0.8227 0.9545
Ho 0.1729 0.3835 0.1062
Ho 0.1773 0.9531 0.5455
Ho 0.3835 0.1729 0.6062
Ho 0.6165 0.8271 0.3938
Ho 0.8227 0.0469 0.4545
Ho 0.8271 0.6165 0.8938
Ho 0.9531 0.1773 0.0455
Tm 0.0153 0.3244 0.5778
Tm 0.3244 0.0153 0.0778
Tm 0.3560 0.6440 0.2500
Tm 0.6440 0.3560 0.7500
Tm 0.6756 0.9847 0.9222
Tm 0.9847 0.6756 0.4222
Sc 0.2884 0.5134 0.7037
Sc 0.4866 0.7116 0.7963
Sc 0.5134 0.2884 0.2037
Sc 0.7116 0.4866 0.2963
CELL_PARAMETERS angstrom
8.0684 -5.6218 0.0000
8.0684 5.6218 0.0000
-0.7078 0.0000 5.7955
```

* total magnetic moment: 0.0 μB per cell

=====

Stability check: which of them is most stable? arrangement A.

=====

Arrangement A

## Ho2TmSc3 (PBE)

Data for Ho2TmSc3 after structural relaxation. Values from VASP.

```
&SYSTEM
  ibrav = 0, nat = 12, ntyp = 3
/
ATOMIC_SPECIES
Ho 164.93 Ho.upf
Tm 168.93 Tm.upf
Sc 44.96 Sc.upf
ATOMIC_POSITIONS crystal
Ho 0.0000 0.0000 0.0000
Ho 0.0000 0.0000 0.5000
Ho 0.3333 0.6667 0.0637
Ho 0.6667 0.3333 0.9363
Tm 0.3333 0.6667 0.4372
Tm 0.6667 0.3333 0.5628
Sc 0.1715 0.3430 0.7492
Sc 0.1715 0.8285 0.7492
Sc 0.3430 0.1715 0.2508
Sc 0.6570 0.8285 0.7492
Sc 0.8285 0.1715 0.2508
Sc 0.8285 0.6570 0.2508
CELL_PARAMETERS angstrom
6.2749 0.0000 0.0000
-3.1374 5.4342 0.0000
0.0000 0.0000 10.2127
```

* total magnetic moment: 2.0 μB per cell

=====

Arrangement B

## Ho2TmSc3 (PBE)

Data for Ho2TmSc3 after structural relaxation. Values from VASP.

```
&SYSTEM
  ibrav = 0, nat = 12, ntyp = 3
/
ATOMIC_SPECIES
Ho 164.93 Ho.upf
Tm 168.93 Tm.upf
Sc 44.96 Sc.upf
ATOMIC_POSITIONS crystal
Ho 0.0283 0.2500 0.3338
Ho 0.2500 0.2500 0.0001
Ho 0.7500 0.7500 0.9999
Ho 0.9717 0.7500 0.6662
Tm 0.4726 0.2500 0.6663
Tm 0.5274 0.7500 0.3337
Sc 0.1395 0.7500 0.1679
Sc 0.2511 0.7500 0.5004
Sc 0.3611 0.7500 0.8318
Sc 0.6389 0.2500 0.1682
Sc 0.7489 0.2500 0.4996
Sc 0.8605 0.2500 0.8321
CELL_PARAMETERS angstrom
5.9273 0.0000 0.0000
0.0000 3.4204 0.0000
-1.9803 0.0000 16.3107
```

* total magnetic moment: 0.0 μB per cell

=====

Stability check: which of them is most stable? arrangement B.

=====

Arrangement A

## HoTm4Sc2 (PBE)

Data for HoTm4Sc2 after structural relaxation. Values from VASP.

```
&SYSTEM
  ibrav = 0, nat = 14, ntyp = 3
/
ATOMIC_SPECIES
Ho 164.93 Ho.upf
Tm 168.93 Tm.upf
Sc 44.96 Sc.upf
ATOMIC_POSITIONS crystal
Ho 0.0000 0.0000 0.0000
Ho 0.4271 0.8591 0.1467
Tm 0.0485 0.4303 0.0782
Tm 0.1371 0.2838 0.7120
Tm 0.1842 0.7100 0.7798
Tm 0.3336 0.0001 0.5030
Tm 0.5729 0.1448 0.8586
Tm 0.6148 0.5691 0.9267
Tm 0.8508 0.7096 0.2938
Tm 0.9038 0.1492 0.3616
Sc 0.2891 0.5699 0.4324
Sc 0.4731 0.2890 0.2219
Sc 0.7100 0.4313 0.5693
Sc 0.7544 0.8521 0.6416
CELL_PARAMETERS angstrom
6.0550 0.0000 0.0000
-3.0187 7.5559 0.0000
-0.0075 -0.9549 8.8035
```

* total magnetic moment: 0.0 μB per cell

=====

Arrangement B

## HoTm4Sc2 (PBE)

Data for HoTm4Sc2 after structural relaxation. Values from VASP.

```
&SYSTEM
  ibrav = 0, nat = 7, ntyp = 3
/
ATOMIC_SPECIES
Ho 164.93 Ho.upf
Tm 168.93 Tm.upf
Sc 44.96 Sc.upf
ATOMIC_POSITIONS crystal
Ho 0.0000 0.0000 0.0000
Tm 0.0882 0.5000 0.2657
Tm 0.4312 0.0000 0.7868
Tm 0.5688 0.0000 0.2132
Tm 0.9118 0.5000 0.7343
Sc 0.0000 0.0000 0.5000
Sc 0.5000 0.5000 0.5000
CELL_PARAMETERS angstrom
5.7194 0.0000 0.0000
0.0000 3.4650 0.0000
-1.7600 0.0000 10.5845
```

* total magnetic moment: 0.0 μB per cell

=====

Stability check: which of them is most stable? arrangement A.

=====

Arrangement A

## HoTm3Sc (PBE)

Data for HoTm3Sc after structural relaxation. Values from VASP.

```
&SYSTEM
  ibrav = 0, nat = 20, ntyp = 3
/
ATOMIC_SPECIES
Ho 164.93 Ho.upf
Tm 168.93 Tm.upf
Sc 44.96 Sc.upf
ATOMIC_POSITIONS crystal
Ho 0.2434 0.1711 0.1252
Ho 0.2434 0.3289 0.6252
Ho 0.7566 0.6711 0.3748
Ho 0.7566 0.8289 0.8748
Tm 0.0530 0.1644 0.8259
Tm 0.0530 0.3356 0.3259
Tm 0.1557 0.6632 0.9762
Tm 0.1557 0.8368 0.4762
Tm 0.3559 0.6928 0.2752
Tm 0.3559 0.8072 0.7752
Tm 0.6441 0.1928 0.2248
Tm 0.6441 0.3072 0.7248
Tm 0.8443 0.1632 0.5238
Tm 0.8443 0.3368 0.0238
Tm 0.9470 0.6644 0.6741
Tm 0.9470 0.8356 0.1741
Sc 0.4473 0.2316 0.4311
Sc 0.4473 0.2684 0.9311
Sc 0.5527 0.7316 0.0689
Sc 0.5527 0.7684 0.5689
CELL_PARAMETERS angstrom
8.5403 0.0000 0.0000
0.0000 5.9132 0.0000
-3.1673 0.0000 11.5990
```

* total magnetic moment: 0.0 μB per cell

=====

Arrangement B

## HoTm3Sc (PBE)

Data for HoTm3Sc after structural relaxation. Values from VASP.

```
&SYSTEM
  ibrav = 0, nat = 10, ntyp = 3
/
ATOMIC_SPECIES
Ho 164.93 Ho.upf
Tm 168.93 Tm.upf
Sc 44.96 Sc.upf
ATOMIC_POSITIONS crystal
Ho 0.1287 0.4033 0.3471
Ho 0.8713 0.5967 0.6529
Tm 0.0663 0.1994 0.0488
Tm 0.2685 0.7976 0.4478
Tm 0.3382 0.9946 0.7527
Tm 0.6618 0.0054 0.2473
Tm 0.7315 0.2024 0.5522
Tm 0.9337 0.8006 0.9512
Sc 0.4664 0.4019 0.8533
Sc 0.5336 0.5981 0.1467
CELL_PARAMETERS angstrom
6.0873 0.0000 0.0000
3.0432 5.7529 0.0000
0.0043 3.0635 8.3778
```

* total magnetic moment: 0.0 μB per cell

=====

Stability check: which of them is most stable? arrangement B.

=====

Arrangement A

## HoTm12Sc6 (PBE)

Data for HoTm12Sc6 after structural relaxation. Values from VASP.

```
&SYSTEM
  ibrav = 0, nat = 19, ntyp = 3
/
ATOMIC_SPECIES
Ho 164.93 Ho.upf
Tm 168.93 Tm.upf
Sc 44.96 Sc.upf
ATOMIC_POSITIONS crystal
Ho 0.0000 0.0000 0.0000
Tm 0.1124 0.5000 0.8876
Tm 0.1124 0.8876 0.5000
Tm 0.1410 0.3665 0.3665
Tm 0.3665 0.1410 0.3665
Tm 0.3665 0.3665 0.1410
Tm 0.5000 0.1124 0.8876
Tm 0.5000 0.8876 0.1124
Tm 0.6335 0.6335 0.8590
Tm 0.6335 0.8590 0.6335
Tm 0.8590 0.6335 0.6335
Tm 0.8876 0.1124 0.5000
Tm 0.8876 0.5000 0.1124
Sc 0.2776 0.6882 0.6882
Sc 0.3118 0.3118 0.7224
Sc 0.3118 0.7224 0.3118
Sc 0.6882 0.2776 0.6882
Sc 0.6882 0.6882 0.2776
Sc 0.7224 0.3118 0.3118
CELL_PARAMETERS angstrom
7.2216 4.1694 3.2538
-7.2216 4.1694 3.2538
0.0000 -8.3388 3.2538
```

* total magnetic moment: 0.0 μB per cell

=====

Arrangement B

## HoTm12Sc6 (PBE)

Data for HoTm12Sc6 after structural relaxation. Values from VASP.

```
&SYSTEM
  ibrav = 0, nat = 19, ntyp = 3
/
ATOMIC_SPECIES
Ho 164.93 Ho.upf
Tm 168.93 Tm.upf
Sc 44.96 Sc.upf
ATOMIC_POSITIONS crystal
Ho 0.0000 0.0000 0.0000
Tm 0.0716 0.2661 0.8055
Tm 0.1945 0.4605 0.2661
Tm 0.1945 0.9284 0.7339
Tm 0.2661 0.1945 0.4605
Tm 0.2661 0.8055 0.0716
Tm 0.4605 0.2661 0.1945
Tm 0.5395 0.7339 0.8055
Tm 0.7339 0.1945 0.9284
Tm 0.7339 0.8055 0.5395
Tm 0.8055 0.0716 0.2661
Tm 0.8055 0.5395 0.7339
Tm 0.9284 0.7339 0.1945
Sc 0.1381 0.5000 0.6381
Sc 0.3619 0.8619 0.5000
Sc 0.5000 0.3619 0.8619
Sc 0.5000 0.6381 0.1381
Sc 0.6381 0.1381 0.5000
Sc 0.8619 0.5000 0.3619
CELL_PARAMETERS angstrom
-5.1665 5.1665 5.1665
5.1665 -5.1665 5.1665
5.1665 5.1665 -5.1665
```

* total magnetic moment: 0.0 μB per cell

=====

Stability check: which of them is most stable? arrangement B.

=====

Arrangement A

## Ho3Tm4Sc4 (PBE)

Data for Ho3Tm4Sc4 after structural relaxation. Values from VASP.

```
&SYSTEM
  ibrav = 0, nat = 11, ntyp = 3
/
ATOMIC_SPECIES
Ho 164.93 Ho.upf
Tm 168.93 Tm.upf
Sc 44.96 Sc.upf
ATOMIC_POSITIONS crystal
Ho 0.0000 0.0000 0.0000
Ho 0.1379 0.6388 0.2763
Ho 0.8621 0.3612 0.7237
Tm 0.3183 0.8175 0.6357
Tm 0.4533 0.4525 0.9059
Tm 0.5467 0.5475 0.0941
Tm 0.6817 0.1825 0.3643
Sc 0.2658 0.2659 0.5320
Sc 0.4081 0.9077 0.8166
Sc 0.5919 0.0923 0.1834
Sc 0.7342 0.7341 0.4680
CELL_PARAMETERS angstrom
3.3741 0.0000 0.0000
-0.0003 5.3733 0.0000
-1.6833 -2.6779 17.0919
```

* total magnetic moment: 0.0 μB per cell

=====

Arrangement B

## Ho3Tm4Sc4 (PBE)

Data for Ho3Tm4Sc4 after structural relaxation. Values from VASP.

```
&SYSTEM
  ibrav = 0, nat = 11, ntyp = 3
/
ATOMIC_SPECIES
Ho 164.93 Ho.upf
Tm 168.93 Tm.upf
Sc 44.96 Sc.upf
ATOMIC_POSITIONS crystal
Ho 0.0000 0.0000 0.0000
Ho 0.3628 0.3628 0.0000
Ho 0.6372 0.6372 0.0000
Tm 0.1842 0.1842 0.0000
Tm 0.4531 0.4531 0.0000
Tm 0.5469 0.5469 0.0000
Tm 0.8158 0.8158 0.0000
Sc 0.0918 0.0918 0.0000
Sc 0.2715 0.2715 0.0000
Sc 0.7285 0.7285 0.0000
Sc 0.9082 0.9082 0.0000
CELL_PARAMETERS angstrom
-1.7129 2.4056 18.7906
1.7129 -2.4056 18.7906
1.7129 2.4056 -18.7906
```

* total magnetic moment: 0.0 μB per cell

=====

Stability check: which of them is most stable? arrangement B.